# Pm2VHO6

A relaxed structure of Pm2VHO6 (PBE with a Hubbard U, the Alexandria database). Values from VASP.

Properties
- DFT total energy: -7.286 eV/atom

```
&SYSTEM
  ibrav = 0, nat = 20, ntyp = 4
/
ATOMIC_SPECIES
V 50.94 V.upf
Pm 145.00 Pm.upf
O 16.00 O.upf
H 1.01 H.upf
CELL_PARAMETERS angstrom
-3.662 2.248 3.608
-3.144 -2.287 -1.766
2.205 -7.450 5.723
ATOMIC_POSITIONS angstrom
V -0.469 -4.868 1.979
V -1.831 1.124 1.804
Pm -3.087 -2.635 2.458
Pm -1.513 -4.854 5.108
Pm -4.602 -5.808 6.681
Pm 0.002 -1.681 0.884
O 0.067 -6.465 5.746
O -2.911 -1.648 4.664
O -2.898 -6.752 5.450
O -3.674 -4.248 4.026
O -0.926 -3.240 3.540
O -2.778 -1.526 -0.546
O -1.702 -0.736 2.115
O -1.736 -3.836 1.028
O -2.864 -3.653 6.537
O -1.822 -5.963 8.111
O -1.689 -5.840 2.902
O -4.667 -1.024 1.819
H -0.728 -2.601 4.665
H -1.572 -1.143 -0.883
```